A plane-wave DFT calculation with GGA-PBE was carried out for a relaxed PmBiSbPd crystal.

The structure in extended XYZ format:
```
4
Lattice="-2.736 -2.283 -3.867 2.287 -3.612 -3.061 -1.401 -5.052 0.399" Properties=species:S:1:pos:R:3 pbc="T T T"
Pm -1.387 -8.210 -4.897
Bi -0.462 -2.737 -1.632
Sb -0.924 -5.473 -3.264
Pd 0.000 0.000 0.000
```

Computed properties:
Energy: -19.69 eV for the cell shown
Spin magnetization: 0.00 μB per cell
Formation energy without anion corrections: -1.74 eV per formula unit
ρ: 9.4 g/cm³

---

A plane-wave DFT calculation with GGA-PBE was carried out for a relaxed PmSmBiPd crystal.

The structure in extended XYZ format:
```
4
Lattice="5.333 0.000 0.000 2.667 4.619 0.000 2.667 1.540 4.355" Properties=species:S:1:pos:R:3 pbc="T T T"
Sm 2.667 1.540 1.089
Pm 8.000 4.619 3.266
Pd 0.000 0.000 0.000
Bi 5.333 3.079 2.177
```

Computed properties:
Energy: -21.18 eV for the cell shown
Spin magnetization: 0.92 μB per cell
ΔE_f: -0.660 eV per atom
ρ: 9.5 g/cm³

---

A plane-wave DFT calculation with GGA-PBE was carried out for a relaxed TbPmBiPd crystal.

The structure in extended XYZ format:
```
4
Lattice="-2.717 -2.800 3.578 1.669 -4.822 1.409 2.021 -0.795 4.828" Properties=species:S:1:pos:R:3 pbc="T T T"
Tb 0.000 0.000 0.000
Pd 0.730 -6.313 7.362
Bi 0.243 -2.104 2.454
Pm 0.486 -4.209 4.908
```

Computed properties:
Energy: -21.07 eV for the cell shown
Spin magnetization: 0.92 μB per cell
ΔE_f: -0.653 eV per atom
ρ: 9.8 g/cm³

---

A plane-wave DFT calculation with GGA-PBE was carried out for a relaxed PmThBiPd crystal.

The structure in extended XYZ format:
```
4
Lattice="-3.383 -3.461 2.323 0.548 -5.272 -0.854 1.724 -3.195 3.955" Properties=species:S:1:pos:R:3 pbc="T T T"
Th -0.278 -2.982 1.356
Pd 0.000 0.000 0.000
Bi -0.556 -5.964 2.712
Pm -0.833 -8.946 4.068
```

Computed properties:
Energy: -23.24 eV for the cell shown
Spin magnetization: 0.00 μB per cell
ΔE_f: -0.499 eV per atom
ρ: 10.5 g/cm³

---

A plane-wave DFT calculation with GGA-PBE was carried out for a relaxed PmTiBiPd crystal.

The structure in extended XYZ format:
```
4
Lattice="-0.711 -0.815 4.965 1.770 -4.247 2.157 3.939 0.228 3.202" Properties=species:S:1:pos:R:3 pbc="T T T"
Ti 1.249 -1.209 2.581
Pd 2.499 -2.417 5.162
Pm 3.748 -3.626 7.743
Bi 0.000 0.000 0.000
```

Computed properties:
Energy: -23.10 eV for the cell shown
Spin magnetization: 2.13 μB per cell
ΔE_f: -0.345 eV per atom
ρ: 9.1 g/cm³

---

A plane-wave DFT calculation with GGA-PBE was carried out for a relaxed PmZnBiPd crystal.

The structure in extended XYZ format:
```
4
Lattice="5.032 0.000 0.000 2.516 4.358 0.000 2.516 1.453 4.109" Properties=species:S:1:pos:R:3 pbc="T T T"
Zn 0.000 0.000 0.000
Pd 5.032 2.905 2.054
Pm 7.548 4.358 3.082
Bi 2.516 1.453 1.027
```

Computed properties:
Energy: -17.15 eV for the cell shown
Spin magnetization: 0.00 μB per cell
ΔE_f: -0.512 eV per atom
ρ: 9.7 g/cm³

---

A plane-wave DFT calculation with GGA-PBE was carried out for a relaxed Pr2BiPd crystal.

The structure in extended XYZ format:
```
8
Lattice="4.502 0.000 0.000 0.000 6.458 -0.396 0.000 -2.747 8.270" Properties=species:S:1:pos:R:3 pbc="T T T"
Bi 3.377 -1.433 6.541
Bi 1.126 5.144 1.332
Pd 1.126 0.498 5.660
Pd 3.377 3.212 2.214
Pr 3.377 0.300 3.602
Pr 3.377 1.889 7.214
Pr 1.126 3.411 4.272
Pr 1.126 1.822 0.660
```

Computed properties:
Energy: -43.48 eV for the cell shown
Spin magnetization: 0.00 μB per cell
ΔE_f: -0.777 eV per atom
ρ: 8.4 g/cm³

---

A plane-wave DFT calculation with GGA-PBE was carried out for a relaxed Pr3Bi4Pd3 crystal.

The structure in extended XYZ format:
```
20
Lattice="-1.447 -6.600 -5.685 1.262 -3.306 8.090 -6.988 5.398 0.084" Properties=species:S:1:pos:R:3 pbc="T T T"
Bi -0.575 -7.153 -0.692
Bi -4.058 0.294 4.502
Bi -1.919 -4.052 -2.427
Bi -3.797 -1.703 -0.104
Bi -2.329 1.799 0.028
Bi -3.166 -3.357 3.941
Bi 0.149 -3.853 2.150
Bi -5.823 4.498 0.070
Pd -1.101 -2.627 -0.099
Pd -7.042 -0.641 -3.179
Pd -1.855 -1.281 5.388
Pd -4.256 0.484 1.665
Pd -5.718 -3.794 0.145
Pd -1.547 -5.669 3.547
Pr -5.626 1.160 -1.058
Pr -1.455 -0.716 2.344
Pr -0.131 -3.869 5.668
Pr -2.917 -4.993 0.824
Pr -5.318 -3.228 -2.899
Pr -6.072 -1.882 2.588
```

Computed properties:
Energy: -106.90 eV for the cell shown
Spin magnetization: 0.00 μB per cell
ΔE_f: -0.801 eV per atom
ρ: 9.9 g/cm³